Below is a geometry-optimized Mg3ScGa structure, with properties calculated at the GGA-PBE level.

Energy above the most stable polymorph in this dataset, eV per atom: 0.000
E_form, eV per atom: 0.278

abc: 5.0155 5.0155 5.0155
angles: 90.00 90.00 90.00
Fractional coordinates of all 5 atoms:
Mg (0.0000, 0.0000, 0.5000)
Mg (0.0000, 0.5000, 0.0000)
Mg (0.5000, 0.0000, 0.0000)
Sc (0.5000, 0.5000, 0.5000)
Ga (0.0000, 0.0000, 0.0000)